Record 1
An optimized crystal structure of Cs2SN, computed with PBEsol.

abc: 5.613 5.613 5.613
angles: 60.00 60.00 60.00
Atoms (fractional coordinates):
1 Cs 0.250 0.250 0.250
2 Cs 0.750 0.750 0.750
3 S 0.000 0.000 0.000
4 N 0.500 0.500 0.500

Summary:
- Formation energy (no corrections): 362 meV/atom
- Electronic total energy: -3.337 eV per atom

Record 2
An optimized crystal structure of CsSbSN2, computed with PBEsol.

abc: 4.381 4.381 5.119
angles: 90.00 90.00 90.00
Atoms (fractional coordinates):
1 Cs 0.000 0.000 0.000
2 Sb 0.500 0.500 0.500
3 S 0.500 0.500 0.000
4 N 0.000 0.500 0.500
5 N 0.500 0.000 0.500

Summary:
- Formation energy (no corrections): 800 meV/atom
- Electronic total energy: -4.587 eV per atom

Record 3
An optimized crystal structure of CsSeS2N, computed with PBEsol.

abc: 5.065 5.065 4.167
angles: 90.00 90.00 90.00
Atoms (fractional coordinates):
1 Cs 0.000 0.000 0.000
2 Se 0.500 0.500 0.500
3 S 0.000 0.500 0.500
4 S 0.500 0.000 0.500
5 N 0.500 0.500 0.000

Summary:
- Formation energy (no corrections): 566 meV/atom
- Electronic total energy: -3.852 eV per atom

Record 4
An optimized crystal structure of CsWS2N, computed with PBEsol.

abc: 4.900 4.900 3.953
angles: 90.00 90.00 90.00
Atoms (fractional coordinates):
1 Cs 0.000 0.000 0.000
2 W 0.500 0.500 0.500
3 S 0.000 0.500 0.500
4 S 0.500 0.000 0.500
5 N 0.500 0.500 0.000

Summary:
- Formation energy (no corrections): -361 meV/atom
- Electronic total energy: -6.770 eV per atom

Record 5
An optimized crystal structure of CsZrSN2, computed with PBEsol.

abc: 4.104 4.104 5.757
angles: 90.00 90.00 90.00
Atoms (fractional coordinates):
1 Cs 0.000 0.000 0.000
2 Zr 0.500 0.500 0.500
3 S 0.000 0.000 0.500
4 N 0.000 0.500 0.000
5 N 0.500 0.000 0.000

Summary:
- Formation energy (no corrections): 1843 meV/atom
- Electronic total energy: -4.451 eV per atom

Record 6
An optimized crystal structure of Cs2SbN2, computed with PBEsol.

abc: 6.593 6.593 5.441
angles: 90.00 90.00 90.00
Atoms (fractional coordinates):
1 Cs 0.173 0.327 0.000
2 Cs 0.327 0.827 0.000
3 Cs 0.673 0.173 0.000
4 Cs 0.827 0.673 0.000
5 Sb 0.000 0.000 0.500
6 Sb 0.500 0.500 0.500
7 N 0.202 0.702 0.500
8 N 0.298 0.202 0.500
9 N 0.702 0.798 0.500
10 N 0.798 0.298 0.500

Summary:
- Formation energy (no corrections): 881 meV/atom
- Electronic total energy: -3.819 eV per atom